# 1
Li4Ho3AsS8 after structural relaxation. Source: the Alexandria database, functional GGA-PBE.

Values from the calculation:
Crystal system   trigonal
Theoretical density   4.5 g cm⁻³
Energy relative to the elements, uncorrected   -1.52 eV/atom

Unit cell a=7.5886 b=7.5886 c=7.5886 alpha=60.97 beta=60.97 gamma=60.97
Sites, in units of the cell vectors:
1 Li 0.0000 0.0000 0.0000
2 Li 0.0000 0.5000 0.5000
3 Li 0.5000 0.0000 0.5000
4 Li 0.5000 0.5000 0.0000
5 Ho 0.0000 0.0000 0.5000
6 Ho 0.0000 0.5000 0.0000
7 Ho 0.5000 0.0000 0.0000
8 As 0.5000 0.5000 0.5000
9 S 0.2503 0.2503 0.2503
10 S 0.2571 0.2571 0.7396
11 S 0.2571 0.7396 0.2571
12 S 0.2604 0.7429 0.7429
13 S 0.7396 0.2571 0.2571
14 S 0.7429 0.2604 0.7429
15 S 0.7429 0.7429 0.2604
16 S 0.7497 0.7497 0.7497

# 2
SrTl2CrRu after structural relaxation. Source: the Alexandria database, functional GGA-PBE.

Values from the calculation:
Crystal system   tetragonal
Theoretical density   8.0 g cm⁻³
Calculated formation energy   150 kJ/mol of formula units

Unit cell a=5.3525 b=5.3525 c=4.7286 alpha=90.00 beta=90.00 gamma=90.00
Sites, in units of the cell vectors:
1 Sr 0.0000 0.0000 0.0000
2 Tl 0.0000 0.5000 0.5000
3 Tl 0.5000 0.0000 0.5000
4 Cr 0.5000 0.5000 0.0000
5 Ru 0.5000 0.5000 0.5000

# 3
CaMgB2O5 after structural relaxation. Source: the Alexandria database, functional GGA-PBE.

Values from the calculation:
Crystal system   monoclinic
Theoretical density   2.9 g cm⁻³
Energy relative to the elements, uncorrected   -2.74 eV/atom

Unit cell a=12.4030 b=11.2150 c=5.5704 alpha=90.00 beta=101.74 gamma=90.00
Sites, in units of the cell vectors:
1 Ca 0.0892 0.1277 0.1517
2 Ca 0.0892 0.3723 0.6517
3 Ca 0.4080 0.6193 0.3704
4 Ca 0.4080 0.8807 0.8704
5 Ca 0.5920 0.1193 0.1296
6 Ca 0.5920 0.3807 0.6296
7 Ca 0.9108 0.6277 0.3483
8 Ca 0.9108 0.8723 0.8483
9 Mg 0.2379 0.6273 0.7481
10 Mg 0.2379 0.8727 0.2481
11 Mg 0.2634 0.1273 0.7553
12 Mg 0.2634 0.3727 0.2553
13 Mg 0.7366 0.6273 0.7447
14 Mg 0.7366 0.8727 0.2447
15 Mg 0.7621 0.1273 0.7519
16 Mg 0.7621 0.3727 0.2519
17 B 0.0115 0.6194 0.8528
18 B 0.0115 0.8806 0.3528
19 B 0.1744 0.6254 0.2018
20 B 0.1744 0.8746 0.7018
21 B 0.3263 0.1176 0.2918
22 B 0.3263 0.3824 0.7918
23 B 0.4906 0.1241 0.6283
24 B 0.4906 0.3759 0.1283
25 B 0.5094 0.6241 0.8717
26 B 0.5094 0.8759 0.3717
27 B 0.6737 0.6176 0.2082
28 B 0.6737 0.8824 0.7082
29 B 0.8256 0.1254 0.2982
30 B 0.8256 0.3746 0.7982
31 B 0.9885 0.1194 0.6472
32 B 0.9885 0.3806 0.1472
33 O 0.0585 0.6296 0.1082
34 O 0.0585 0.8704 0.6082
35 O 0.0705 0.5809 0.6866
36 O 0.0705 0.9191 0.1866
37 O 0.0950 0.1579 0.7165
38 O 0.0950 0.3421 0.2165
39 O 0.2186 0.6979 0.3941
40 O 0.2186 0.8021 0.8941
41 O 0.2404 0.5508 0.0988
42 O 0.2404 0.9492 0.5988
43 O 0.2676 0.1958 0.4051
44 O 0.2676 0.3042 0.9051
45 O 0.2740 0.0456 0.1038
46 O 0.2740 0.4544 0.6038
47 O 0.4050 0.6689 0.8125
48 O 0.4050 0.8311 0.3125
49 O 0.4328 0.0926 0.8031
50 O 0.4328 0.4074 0.3031
51 O 0.4423 0.1117 0.3735
52 O 0.4423 0.3883 0.8735
53 O 0.5577 0.6117 0.1265
54 O 0.5577 0.8883 0.6265
55 O 0.5672 0.5926 0.6969
56 O 0.5672 0.9074 0.1969
57 O 0.5950 0.1689 0.6875
58 O 0.5950 0.3311 0.1875
59 O 0.7260 0.5456 0.3962
60 O 0.7260 0.9544 0.8962
61 O 0.7324 0.6958 0.0949
62 O 0.7324 0.8042 0.5949
63 O 0.7596 0.0508 0.4012
64 O 0.7596 0.4492 0.9012
65 O 0.7814 0.1979 0.1059
66 O 0.7814 0.3021 0.6059
67 O 0.9050 0.6579 0.7835
68 O 0.9050 0.8421 0.2835
69 O 0.9295 0.0809 0.8134
70 O 0.9295 0.4191 0.3134
71 O 0.9415 0.1296 0.3918
72 O 0.9415 0.3704 0.8918

# 4
Hf7Au10 after structural relaxation. Source: the Alexandria database, functional GGA-PBE.

Values from the calculation:
Crystal system   orthorhombic
Theoretical density   16.3 g cm⁻³
Calculated formation energy   -903 kJ/mol of formula units

Unit cell a=8.3201 b=8.3201 c=9.8974 alpha=90.00 beta=90.00 gamma=72.80
Sites, in units of the cell vectors:
1 Hf 0.0000 0.0000 0.0000
2 Hf 0.0057 0.4943 0.2500
3 Hf 0.1874 0.8126 0.6890
4 Hf 0.1896 0.1896 0.5000
5 Hf 0.3104 0.3104 0.0000
6 Hf 0.3126 0.6874 0.1890
7 Hf 0.4943 0.0057 0.7500
8 Hf 0.5000 0.5000 0.5000
9 Hf 0.5057 0.9943 0.2500
10 Hf 0.6874 0.3126 0.8110
11 Hf 0.6896 0.6896 0.0000
12 Hf 0.8104 0.8104 0.5000
13 Hf 0.8126 0.1874 0.3110
14 Hf 0.9943 0.5057 0.7500
15 Au 0.0593 0.6472 0.9991
16 Au 0.1051 0.8949 0.3976
17 Au 0.1425 0.1496 0.7920
18 Au 0.1472 0.5593 0.4991
19 Au 0.1496 0.1425 0.2080
20 Au 0.3504 0.3575 0.7080
21 Au 0.3528 0.9407 0.9991
22 Au 0.3575 0.3504 0.2920
23 Au 0.3949 0.6051 0.8976
24 Au 0.4407 0.8528 0.4991
25 Au 0.5593 0.1472 0.5009
26 Au 0.6051 0.3949 0.1024
27 Au 0.6425 0.6496 0.7080
28 Au 0.6472 0.0593 0.0009
29 Au 0.6496 0.6425 0.2920
30 Au 0.8504 0.8575 0.7920
31 Au 0.8528 0.4407 0.5009
32 Au 0.8575 0.8504 0.2080
33 Au 0.8949 0.1051 0.6024
34 Au 0.9407 0.3528 0.0009

# 5
MgSnPd2S after structural relaxation. Source: the Alexandria database, functional GGA-PBE.

Values from the calculation:
Crystal system   tetragonal
Theoretical density   6.0 g cm⁻³
Energy relative to the elements, uncorrected   0.16 eV/atom

Unit cell a=4.8328 b=4.8328 c=4.5901 alpha=90.00 beta=90.00 gamma=90.00
Sites, in units of the cell vectors:
1 Mg 0.0000 0.0000 0.0000
2 Sn 0.5000 0.5000 0.5000
3 Pd 0.0000 0.5000 0.0000
4 Pd 0.5000 0.0000 0.0000
5 S 0.0000 0.0000 0.5000

# 6
Be2IrRh after structural relaxation. Source: the Alexandria database, functional GGA-PBE.

Values from the calculation:
Crystal system   tetragonal
Theoretical density   11.9 g cm⁻³
Calculated formation energy   -230 kJ/mol of formula units

Unit cell a=3.9590 b=3.9590 c=2.7860 alpha=90.00 beta=90.00 gamma=90.00
Sites, in units of the cell vectors:
1 Be 0.0000 0.5000 0.0000
2 Be 0.5000 0.0000 0.0000
3 Ir 0.0000 0.0000 0.5000
4 Rh 0.5000 0.5000 0.5000

# 7
BaCoCl after structural relaxation. Source: the Alexandria database, functional GGA-PBE.

Values from the calculation:
Crystal system   trigonal
Energy above the most stable polymorph in this dataset   796 meV/atom
Theoretical density   3.2 g cm⁻³
Energy relative to the elements, uncorrected   -0.08 eV/atom

Unit cell a=4.7115 b=4.7115 c=6.3335 alpha=90.00 beta=90.00 gamma=120.00
Sites, in units of the cell vectors:
1 Ba 0.0000 0.0000 0.0000
2 Co 0.3333 0.6667 0.6667
3 Cl 0.6667 0.3333 0.2319

# 8
Th4ScBi5 after structural relaxation. Source: the Alexandria database, functional GGA-PBE.

Values from the calculation:
Crystal system   tetragonal
Theoretical density   10.1 g cm⁻³
Calculated formation energy   -542 kJ/mol of formula units

Unit cell a=7.8568 b=7.8568 c=7.8568 alpha=99.69 beta=99.69 gamma=131.56
Sites, in units of the cell vectors:
1 Th 0.0907 0.6926 0.7832
2 Th 0.3074 0.0907 0.3981
3 Th 0.6926 0.9093 0.6019
4 Th 0.9093 0.3074 0.2168
5 Sc 0.5000 0.5000 0.0000
6 Bi 0.0000 0.0000 0.0000
7 Bi 0.2182 0.3988 0.6170
8 Bi 0.3988 0.7818 0.1806
9 Bi 0.6012 0.2182 0.8194
10 Bi 0.7818 0.6012 0.3830

| no. | M_tot (Bohr magnetons per cell) |
| --- | --- |
| 1 | 0.000 |
| 2 | 3.125 |
| 3 | 0.000 |
| 4 | 0.000 |
| 5 | 0.000 |
| 6 | 0.000 |
| 7 | 2.000 |
| 8 | 0.000 |